The following is a DFT calculation (PBE) of a relaxed Ti2MnZnN crystal.

Cell and atoms, written as extended XYZ:
```
5
Lattice="4.1392 0.0000 0.0000 0.0000 4.1392 0.0000 0.0000 0.0000 3.7777" Properties=species:S:1:pos:R:3 pbc="T T T"
Ti 0.0000 2.0696 0.0000
Ti 2.0696 0.0000 0.0000
Mn 0.0000 0.0000 1.8889
Zn 2.0696 2.0696 1.8889
N 0.0000 0.0000 0.0000
```

The crystal system is tetragonal. The calculation puts the formation energy (no corrections) at -3.40 eV/f.u. The space-group type is P4/mmm (123). Its electronic total energy is -7.592 eV per atom. Its density of states at the Fermi level is 3.883 states/eV per cell. Its magnetization is 1.584 μB per formula unit.